Record 1
Here is K2Ca after structural relaxation from Alexandria via LeMat-Bulk. Energies are from PBE.

The structure in extended XYZ format:
```
3
Lattice="-2.066 3.295 6.515 2.066 -3.295 6.515 2.066 3.295 -6.515" Properties=species:S:1:pos:R:3 pbc="T T T"
K 0.000 0.000 2.128
K 0.000 0.000 10.901
Ca 0.000 0.000 6.515
```

Computed properties:
- Electronic total energy: -3.7 eV/f.u.
- Total moment: 0.0 μB per formula unit
- Calculated formation energy: 0.1694 eV/atom
- Symmetry: Immm, No. 71
- Crystal system: orthorhombic
- Relative energy among the computed polymorphs: 0.122 eV/f.u.

***

Record 2
Here is K3Ca after structural relaxation from Alexandria via LeMat-Bulk. Energies are from PBE.

The structure in extended XYZ format:
```
4
Lattice="4.374 -6.638 0.000 4.374 6.638 0.000 0.000 0.000 4.232" Properties=species:S:1:pos:R:3 pbc="T T T"
K 0.000 0.000 0.000
K 2.187 3.319 2.116
K 2.187 -3.319 2.116
Ca 4.374 0.000 0.000
```

Computed properties:
- Electronic total energy: -4.7 eV/f.u.
- Total moment: 0.0 μB per formula unit
- Calculated formation energy: 0.1366 eV/atom
- Symmetry: Cmmm, No. 65
- Crystal system: orthorhombic